1.
A plane-wave DFT calculation with PBE was carried out for Ca3PuTl12 after structural relaxation.

Unit cell a=4.8965 b=4.8965 c=19.0325 alpha=90.00 beta=90.00 gamma=90.00
Space group P4/mmm (No. 123)
Inequivalent atoms, fractional coordinates:
Ca (0.0000, 0.0000, 0.0000)
Ca (0.0000, 0.0000, 0.2519)
Pu (0.0000, 0.0000, 0.5000)
Tl (0.0000, 0.5000, 0.1257)
Tl (0.0000, 0.5000, 0.3771)
Tl (0.5000, 0.5000, 0.0000)
Tl (0.5000, 0.5000, 0.2508)
Tl (0.5000, 0.5000, 0.5000)

Properties
For the energy of formation, the calculation gives -17 kJ per mole of atoms.

2.
A plane-wave DFT calculation with PBE was carried out for ErMg4Hg2 after structural relaxation.

Unit cell a=8.3760 b=8.3760 c=4.5981 alpha=90.00 beta=90.00 gamma=90.00
Space group P4_2/mnm (No. 136)
Inequivalent atoms, fractional coordinates:
Er (0.0000, 0.0000, 0.0000)
Mg (0.1013, 0.3477, 0.5000)
Hg (0.2003, 0.7997, 0.5000)

Properties
For the energy of formation, the calculation gives -20 kJ per mole of atoms. For the relative energy among the computed polymorphs, the calculation gives 0.0 meV/atom.

3.
A plane-wave DFT calculation with PBE was carried out for SrCd2Hg9 after structural relaxation.

Unit cell a=10.1918 b=10.1918 c=3.5043 alpha=90.00 beta=90.00 gamma=120.00
Space group P6/mmm (No. 191)
Inequivalent atoms, fractional coordinates:
Sr (0.0000, 0.0000, 0.0000)
Cd (0.3333, 0.6667, 0.0000)
Hg (0.0000, 0.5000, 0.0000)
Hg (0.1772, 0.3544, 0.5000)

Properties
For the energy of formation, the calculation gives -9 kJ per mole of atoms. For the relative energy among the computed polymorphs, the calculation gives 6.2 meV/atom.

4.
A plane-wave DFT calculation with PBE was carried out for PuHfMnTc after structural relaxation.

Unit cell a=6.5755 b=6.5755 c=6.5755 alpha=90.00 beta=90.00 gamma=90.00
Space group F-43m (No. 216)
Inequivalent atoms, fractional coordinates:
Pu (0.0000, 0.0000, 0.0000)
Hf (0.0000, 0.0000, 0.5000)
Mn (0.2500, 0.2500, 0.2500)
Tc (0.2500, 0.2500, 0.7500)

Properties
For the energy of formation, the calculation gives -10 kJ per mole of atoms.

5.
A plane-wave DFT calculation with PBE was carried out for Pr2TlBi3 after structural relaxation.

Unit cell a=15.3892 b=6.4084 c=9.3120 alpha=90.00 beta=107.64 gamma=90.00
Space group C2/c (No. 15)
Inequivalent atoms, fractional coordinates:
Pr (0.1646, 0.0009, 0.0822)
Tl (0.0000, 0.4963, 0.7500)
Bi (0.0000, 0.0038, 0.2500)
Bi (0.1783, 0.4991, 0.5892)

Properties
For the energy of formation, the calculation gives -45 kJ per mole of atoms.

6.
A plane-wave DFT calculation with PBE was carried out for TmAgSe2 after structural relaxation.

Unit cell a=3.9728 b=3.9728 c=20.9485 alpha=90.00 beta=90.00 gamma=120.00
Space group R3m (No. 160, hexagonal axes)
Inequivalent atoms, fractional coordinates:
Tm (0.0000, 0.0000, 0.0000)
Ag (0.0000, 0.0000, 0.8343)
Se (0.0000, 0.0000, 0.2516)
Se (0.0000, 0.0000, 0.4162)

Properties
The uncorrected formation energy comes out at -102 kJ per mole of atoms.

7.
A plane-wave DFT calculation with PBE was carried out for Ce6In2Ir after structural relaxation.

Unit cell a=6.1577 b=7.9937 c=11.4750 alpha=90.00 beta=118.11 gamma=90.00
Space group P2_1/c (No. 14)
Inequivalent atoms, fractional coordinates:
Ce (0.0576, 0.1619, 0.4657)
Ce (0.2902, 0.6624, 0.4920)
Ce (0.3652, 0.0091, 0.2322)
In (0.1402, 0.1241, 0.7617)
Ir (0.5000, 0.0000, 0.5000)

Properties
For the energy of formation, the calculation gives -22 kJ per mole of atoms. For the relative energy among the computed polymorphs, the calculation gives 41.7 meV/atom.